[1]
Crystalline LiNb2AgH at its relaxed geometry. Source: Alexandria via LeMat-Bulk, functional PBE-GGA.

Lattice parameters (Å, degrees): 5.408 5.408 3.026 90.00 90.00 90.00
Fractional coordinates of all 5 atoms:
1 Li 0.000 0.000 0.000
2 Nb 0.000 0.500 0.500
3 Nb 0.500 0.000 0.500
4 Ag 0.500 0.500 0.500
5 H 0.500 0.500 0.000

Summary:
* E: -4.367 eV/atom
* calculated volume: 17.698 Å³ per atom
* magnetization: 0.00 μB per cell


[2]
Crystalline LiNi2AgH at its relaxed geometry. Source: Alexandria via LeMat-Bulk, functional PBE-GGA.

Lattice parameters (Å, degrees): 3.590 3.590 4.194 90.00 90.00 90.00
Fractional coordinates of all 5 atoms:
1 Li 0.000 0.000 0.000
2 Ni 0.000 0.500 0.500
3 Ni 0.500 0.000 0.500
4 Ag 0.500 0.500 0.000
5 H 0.500 0.500 0.500

Summary:
* energy above the most stable polymorph in this dataset: 98 meV/atom
* calculated volume: 10.813 Å³ per atom
* magnetization: 0.00 μB per cell


[3]
Crystalline LiNi2AgH at its relaxed geometry. Source: Alexandria via LeMat-Bulk, functional PBE-GGA.

Lattice parameters (Å, degrees): 3.604 3.604 4.068 90.00 90.00 90.00
Fractional coordinates of all 5 atoms:
1 Li 0.000 0.000 0.000
2 Ni 0.000 0.500 0.500
3 Ni 0.500 0.000 0.500
4 Ag 0.500 0.500 0.000
5 H 0.000 0.000 0.500

Summary:
* energy above the most stable polymorph in this dataset: 0 meV/atom
* calculated volume: 10.567 Å³ per atom
* magnetization: 0.00 μB per cell